1.
## Tl2CuAu (PBE-GGA)

Data for a relaxed Tl2CuAu crystal.

Cell and atoms, written as CIF:
```
data_Tl2CuAu
_cell_length_a 4.0930
_cell_length_b 4.1058
_cell_length_c 5.7350
_cell_angle_alpha 90.00
_cell_angle_beta 109.53
_cell_angle_gamma 90.00
_symmetry_space_group_name_H-M 'P 1 m 1'
_symmetry_Int_Tables_number 6
loop_
_symmetry_equiv_pos_as_xyz
'x,y,z'
'x,-y,z'
loop_
_atom_site_label
_atom_site_type_symbol
_atom_site_fract_x
_atom_site_fract_y
_atom_site_fract_z
Tl1 Tl 0.0000 0.0000 0.0000
Tl2 Tl 0.2964 0.5000 0.6027
Cu1 Cu 0.7467 0.0000 0.4788
Au1 Au 0.5809 0.5000 0.1710
```

Output
Total moment (μB per atom): 0.00
Formation energy from the elements (eV per atom): 0.090
Final energy (eV per atom): -2.936



2.
## TlCu2Au (PBE-GGA)

Data for a relaxed TlCu2Au crystal.

Cell and atoms, written as CIF:
```
data_TlCu2Au
_cell_length_a 4.1957
_cell_length_b 4.1957
_cell_length_c 18.2190
_cell_angle_alpha 90.00
_cell_angle_beta 90.00
_cell_angle_gamma 90.00
_symmetry_space_group_name_H-M 'I -4 2 d'
_symmetry_Int_Tables_number 122
_symmetry_space_group_name_Hall 'I -4 2bw'
loop_
_atom_site_label
_atom_site_type_symbol
_atom_site_fract_x
_atom_site_fract_y
_atom_site_fract_z
Tl1 Tl 0.0000 0.0000 0.0000
Cu1 Cu 0.1615 0.2500 0.6250
Au1 Au 0.0000 0.0000 0.5000
```

Output
Total moment (μB per atom): 0.00
Formation energy from the elements (eV per atom): 0.301
Final energy (eV per atom): -3.158



3.
## TlCuAu2 (PBE-GGA)

Data for a relaxed TlCuAu2 crystal.

Cell and atoms, written as CIF:
```
data_TlCuAu2
_cell_length_a 3.9833
_cell_length_b 4.2876
_cell_length_c 8.7180
_cell_angle_alpha 90.00
_cell_angle_beta 90.00
_cell_angle_gamma 90.00
_symmetry_space_group_name_H-M 'I m m 2'
_symmetry_Int_Tables_number 44
loop_
_symmetry_equiv_pos_as_xyz
'x,y,z'
'-x,-y,z'
'-x,y,z'
'x,-y,z'
'x+1/2,y+1/2,z+1/2'
'-x+1/2,-y+1/2,z+1/2'
'-x+1/2,y+1/2,z+1/2'
'x+1/2,-y+1/2,z+1/2'
loop_
_atom_site_label
_atom_site_type_symbol
_atom_site_fract_x
_atom_site_fract_y
_atom_site_fract_z
Tl1 Tl 0.0000 0.0000 0.0000
Cu1 Cu 0.0000 0.5000 0.2504
Au1 Au 0.0000 0.0000 0.5231
Au2 Au 0.0000 0.5000 0.7628
```

Output
Total moment (μB per atom): 0.00
Formation energy from the elements (eV per atom): 0.128
Final energy (eV per atom): -3.126



4.
## TlCu2Au (PBE-GGA)

Data for a relaxed TlCu2Au crystal.

Cell and atoms, written as CIF:
```
data_TlCu2Au
_cell_length_a 6.4809
_cell_length_b 6.4809
_cell_length_c 6.4809
_cell_angle_alpha 90.00
_cell_angle_beta 90.00
_cell_angle_gamma 90.00
_symmetry_space_group_name_H-M 'F -4 3 m'
_symmetry_Int_Tables_number 216
_symmetry_space_group_name_Hall 'F -4 2 3'
loop_
_atom_site_label
_atom_site_type_symbol
_atom_site_fract_x
_atom_site_fract_y
_atom_site_fract_z
Tl1 Tl 0.0000 0.0000 0.0000
Cu1 Cu 0.0000 0.0000 0.5000
Cu2 Cu 0.2500 0.2500 0.2500
Au1 Au 0.2500 0.2500 0.7500
```

Output
Total moment (μB per atom): 0.00
Formation energy from the elements (eV per atom): 0.235
Final energy (eV per atom): -3.224



5.
## TlCuAu2 (PBE-GGA)

Data for a relaxed TlCuAu2 crystal.

Cell and atoms, written as CIF:
```
data_TlCuAu2
_cell_length_a 3.2490
_cell_length_b 3.2490
_cell_length_c 7.2517
_cell_angle_alpha 90.00
_cell_angle_beta 90.00
_cell_angle_gamma 90.00
_symmetry_space_group_name_H-M 'P 4/m m m'
_symmetry_Int_Tables_number 123
_symmetry_space_group_name_Hall '-P 4 2'
loop_
_atom_site_label
_atom_site_type_symbol
_atom_site_fract_x
_atom_site_fract_y
_atom_site_fract_z
Tl1 Tl 0.0000 0.0000 0.0000
Cu1 Cu 0.0000 0.0000 0.5000
Au1 Au 0.5000 0.5000 0.3003
```

Output
Total moment (μB per atom): 0.00
Formation energy from the elements (eV per atom): 0.058
Final energy (eV per atom): -3.196



6.
## TlCu2Au (PBE-GGA)

Data for a relaxed TlCu2Au crystal.

Cell and atoms, written as CIF:
```
data_TlCu2Au
_cell_length_a 3.1953
_cell_length_b 3.5307
_cell_length_c 6.0812
_cell_angle_alpha 90.00
_cell_angle_beta 90.00
_cell_angle_gamma 90.00
_symmetry_space_group_name_H-M 'P m m m'
_symmetry_Int_Tables_number 47
loop_
_symmetry_equiv_pos_as_xyz
'x,y,z'
'-x,-y,-z'
'-x,-y,z'
'x,y,-z'
'x,-y,-z'
'-x,y,z'
'-x,y,-z'
'x,-y,z'
loop_
_atom_site_label
_atom_site_type_symbol
_atom_site_fract_x
_atom_site_fract_y
_atom_site_fract_z
Tl1 Tl 0.0000 0.0000 0.0000
Cu1 Cu 0.5000 0.5000 0.2853
Au1 Au 0.0000 0.0000 0.5000
```

Output
Total moment (μB per atom): 0.00
Formation energy from the elements (eV per atom): 0.144
Final energy (eV per atom): -3.315



7.
## TlCuAu2 (PBE-GGA)

Data for a relaxed TlCuAu2 crystal.

Cell and atoms, written as CIF:
```
data_TlCuAu2
_cell_length_a 4.1047
_cell_length_b 4.1047
_cell_length_c 4.3951
_cell_angle_alpha 90.00
_cell_angle_beta 90.00
_cell_angle_gamma 90.00
_symmetry_space_group_name_H-M 'P 4/m m m'
_symmetry_Int_Tables_number 123
_symmetry_space_group_name_Hall '-P 4 2'
loop_
_atom_site_label
_atom_site_type_symbol
_atom_site_fract_x
_atom_site_fract_y
_atom_site_fract_z
Tl1 Tl 0.0000 0.0000 0.0000
Cu1 Cu 0.5000 0.5000 0.0000
Au1 Au 0.0000 0.5000 0.5000
```

Output
Total moment (μB per atom): 0.00
Formation energy from the elements (eV per atom): 0.148
Final energy (eV per atom): -3.106



8.
## TlCuAu2 (PBE-GGA)

Data for a relaxed TlCuAu2 crystal.

Cell and atoms, written as CIF:
```
data_TlCuAu2
_cell_length_a 3.5235
_cell_length_b 3.5235
_cell_length_c 22.9580
_cell_angle_alpha 90.00
_cell_angle_beta 90.00
_cell_angle_gamma 120.00
_symmetry_space_group_name_H-M 'R -3 m'
_symmetry_Int_Tables_number 166
_symmetry_space_group_name_Hall '-R 3 2"'
loop_
_atom_site_label
_atom_site_type_symbol
_atom_site_fract_x
_atom_site_fract_y
_atom_site_fract_z
Tl1 Tl 0.0000 0.0000 0.0000
Cu1 Cu 0.0000 0.0000 0.5000
Au1 Au 0.0000 0.0000 0.2370
```

Output
Total moment (μB per atom): 0.00
Formation energy from the elements (eV per atom): 0.147
Final energy (eV per atom): -3.107



9.
## ZrTlCuAu (PBE-GGA)

Data for a relaxed ZrTlCuAu crystal.

Cell and atoms, written as CIF:
```
data_ZrTlCuAu
_cell_length_a 6.7288
_cell_length_b 6.7288
_cell_length_c 6.7288
_cell_angle_alpha 90.00
_cell_angle_beta 90.00
_cell_angle_gamma 90.00
_symmetry_space_group_name_H-M 'F -4 3 m'
_symmetry_Int_Tables_number 216
_symmetry_space_group_name_Hall 'F -4 2 3'
loop_
_atom_site_label
_atom_site_type_symbol
_atom_site_fract_x
_atom_site_fract_y
_atom_site_fract_z
Zr1 Zr 0.0000 0.0000 0.0000
Tl1 Tl 0.0000 0.0000 0.5000
Cu1 Cu 0.2500 0.2500 0.7500
Au1 Au 0.2500 0.2500 0.2500
```

Output
Total moment (μB per atom): 0.00
Formation energy from the elements (eV per atom): -0.094
Final energy (eV per atom): -4.666



10.
## TmCuAu (PBE-GGA)

Data for a relaxed TmCuAu crystal.

Cell and atoms, written as CIF:
```
data_TmCuAu
_cell_length_a 3.9000
_cell_length_b 4.7418
_cell_length_c 7.1302
_cell_angle_alpha 90.00
_cell_angle_beta 90.00
_cell_angle_gamma 90.00
_symmetry_space_group_name_H-M 'I m m 2'
_symmetry_Int_Tables_number 44
loop_
_symmetry_equiv_pos_as_xyz
'x,y,z'
'-x,-y,z'
'-x,y,z'
'x,-y,z'
'x+1/2,y+1/2,z+1/2'
'-x+1/2,-y+1/2,z+1/2'
'-x+1/2,y+1/2,z+1/2'
'x+1/2,-y+1/2,z+1/2'
loop_
_atom_site_label
_atom_site_type_symbol
_atom_site_fract_x
_atom_site_fract_y
_atom_site_fract_z
Tm1 Tm 0.0000 0.0000 0.0000
Cu1 Cu 0.0000 0.0000 0.5696
Au1 Au 0.0000 0.5000 0.7850
```

Output
Total moment (μB per atom): 0.00
Formation energy from the elements (eV per atom): -0.367
Final energy (eV per atom): -4.315



11.
## Tm2Cu3Au (PBE-GGA)

Data for a relaxed Tm2Cu3Au crystal.

Cell and atoms, written as CIF:
```
data_Tm2Cu3Au
_cell_length_a 8.7111
_cell_length_b 8.7111
_cell_length_c 6.8272
_cell_angle_alpha 90.00
_cell_angle_beta 90.00
_cell_angle_gamma 120.00
_symmetry_space_group_name_H-M 'P 63/m m c'
_symmetry_Int_Tables_number 194
_symmetry_space_group_name_Hall '-P 6c 2c'
loop_
_atom_site_label
_atom_site_type_symbol
_atom_site_fract_x
_atom_site_fract_y
_atom_site_fract_z
Tm1 Tm 0.0000 0.0000 0.2500
Tm2 Tm 0.0235 0.5118 0.2500
Cu1 Cu 0.1613 0.3227 0.5125
Au1 Au 0.3333 0.6667 0.5268
```

Output
Total moment (μB per atom): 0.00
Formation energy from the elements (eV per atom): -0.425
Final energy (eV per atom): -4.510



12.
## Tm6Cu5Au (PBE-GGA)

Data for a relaxed Tm6Cu5Au crystal.

Cell and atoms, written as CIF:
```
data_Tm6Cu5Au
_cell_length_a 4.8841
_cell_length_b 14.6611
_cell_length_c 6.8471
_cell_angle_alpha 90.00
_cell_angle_beta 90.00
_cell_angle_gamma 90.00
_symmetry_space_group_name_H-M 'C m m m'
_symmetry_Int_Tables_number 65
_symmetry_space_group_name_Hall '-C 2 2'
loop_
_atom_site_label
_atom_site_type_symbol
_atom_site_fract_x
_atom_site_fract_y
_atom_site_fract_z
Tm1 Tm 0.0000 0.0000 0.2453
Tm2 Tm 0.0000 0.3315 0.2473
Cu1 Cu 0.0000 0.1647 0.0000
Cu2 Cu 0.0000 0.1700 0.5000
Cu3 Cu 0.0000 0.5000 0.0000
Au1 Au 0.0000 0.5000 0.5000
```

Output
Total moment (μB per atom): 0.00
Formation energy from the elements (eV per atom): -0.394
Final energy (eV per atom): -4.609



13.
## TmCu4Au8 (PBE-GGA)

Data for a relaxed TmCu4Au8 crystal.

Cell and atoms, written as CIF:
```
data_TmCu4Au8
_cell_length_a 9.1548
_cell_length_b 9.1548
_cell_length_c 5.3168
_cell_angle_alpha 90.00
_cell_angle_beta 90.00
_cell_angle_gamma 90.00
_symmetry_space_group_name_H-M 'I 4/m m m'
_symmetry_Int_Tables_number 139
_symmetry_space_group_name_Hall '-I 4 2'
loop_
_atom_site_label
_atom_site_type_symbol
_atom_site_fract_x
_atom_site_fract_y
_atom_site_fract_z
Tm1 Tm 0.0000 0.0000 0.0000
Cu1 Cu 0.2500 0.2500 0.2500
Au1 Au 0.0000 0.2185 0.5000
Au2 Au 0.0000 0.3330 0.0000
```

Output
Total moment (μB per atom): 0.00
Formation energy from the elements (eV per atom): -0.236
Final energy (eV per atom): -3.857



14.
## Tm2Cu15Au2 (PBE-GGA)

Data for a relaxed Tm2Cu15Au2 crystal.

Cell and atoms, written as CIF:
```
data_Tm2Cu15Au2
_cell_length_a 8.6942
_cell_length_b 8.6942
_cell_length_c 12.5070
_cell_angle_alpha 90.00
_cell_angle_beta 90.00
_cell_angle_gamma 120.00
_symmetry_space_group_name_H-M 'R -3 m'
_symmetry_Int_Tables_number 166
_symmetry_space_group_name_Hall '-R 3 2"'
loop_
_atom_site_label
_atom_site_type_symbol
_atom_site_fract_x
_atom_site_fract_y
_atom_site_fract_z
Tm1 Tm 0.0000 0.0000 0.1541
Cu1 Cu 0.0000 0.3029 0.5000
Cu2 Cu 0.0000 0.5000 0.0000
Cu3 Cu 0.0079 0.5040 0.6537
Au1 Au 0.0000 0.0000 0.3904
```

Output
Total moment (μB per atom): 0.00
Formation energy from the elements (eV per atom): -0.151
Final energy (eV per atom): -4.201



15.
## Tm3Cu2Au (PBE-GGA)

Data for a relaxed Tm3Cu2Au crystal.

Cell and atoms, written as CIF:
```
data_Tm3Cu2Au
_cell_length_a 3.4573
_cell_length_b 3.4573
_cell_length_c 10.4564
_cell_angle_alpha 90.00
_cell_angle_beta 90.00
_cell_angle_gamma 90.00
_symmetry_space_group_name_H-M 'P 4/m m m'
_symmetry_Int_Tables_number 123
_symmetry_space_group_name_Hall '-P 4 2'
loop_
_atom_site_label
_atom_site_type_symbol
_atom_site_fract_x
_atom_site_fract_y
_atom_site_fract_z
Tm1 Tm 0.0000 0.0000 0.0000
Tm2 Tm 0.0000 0.0000 0.3258
Cu1 Cu 0.5000 0.5000 0.1610
Au1 Au 0.5000 0.5000 0.5000
```

Output
Total moment (μB per atom): 0.00
Formation energy from the elements (eV per atom): -0.490
Final energy (eV per atom): -4.637



16.
## Tm8CuAu2 (PBE-GGA)

Data for a relaxed Tm8CuAu2 crystal.

Cell and atoms, written as CIF:
```
data_Tm8CuAu2
_cell_length_a 17.3580
_cell_length_b 5.0375
_cell_length_c 6.7214
_cell_angle_alpha 90.00
_cell_angle_beta 105.62
_cell_angle_gamma 90.00
_symmetry_space_group_name_H-M 'C 1 2/m 1'
_symmetry_Int_Tables_number 12
loop_
_symmetry_equiv_pos_as_xyz
'x,y,z'
'-x,-y,-z'
'-x,y,-z'
'x,-y,z'
'x+1/2,y+1/2,z'
'-x+1/2,-y+1/2,-z'
'-x+1/2,y+1/2,-z'
'x+1/2,-y+1/2,z'
loop_
_atom_site_label
_atom_site_type_symbol
_atom_site_fract_x
_atom_site_fract_y
_atom_site_fract_z
Tm1 Tm 0.0295 0.0000 0.2818
Tm2 Tm 0.0908 0.5000 0.9483
Tm3 Tm 0.1626 0.5000 0.4699
Tm4 Tm 0.2020 0.0000 0.8163
Cu1 Cu 0.0000 0.5000 0.5000
Au1 Au 0.1874 0.0000 0.2262
```

Output
Total moment (μB per atom): 0.00
Formation energy from the elements (eV per atom): -0.367
Final energy (eV per atom): -4.588



17.
## Tm3Cu2Au (PBE-GGA)

Data for a relaxed Tm3Cu2Au crystal.

Cell and atoms, written as CIF:
```
data_Tm3Cu2Au
_cell_length_a 4.9017
_cell_length_b 4.9017
_cell_length_c 12.0667
_cell_angle_alpha 90.00
_cell_angle_beta 90.00
_cell_angle_gamma 120.00
_symmetry_space_group_name_H-M 'P -3 m 1'
_symmetry_Int_Tables_number 164
_symmetry_space_group_name_Hall '-P 3 2"'
loop_
_atom_site_label
_atom_site_type_symbol
_atom_site_fract_x
_atom_site_fract_y
_atom_site_fract_z
Tm1 Tm 0.0000 0.0000 0.2449
Tm2 Tm 0.3333 0.6667 0.4159
Tm3 Tm 0.3333 0.6667 0.9202
Cu1 Cu 0.0000 0.0000 0.0000
Cu2 Cu 0.0000 0.0000 0.5000
Cu3 Cu 0.3333 0.6667 0.1610
Au1 Au 0.3333 0.6667 0.6674
```

Output
Total moment (μB per atom): 0.00
Formation energy from the elements (eV per atom): -0.492
Final energy (eV per atom): -4.639



18.
## TmCu4Au (PBE-GGA)

Data for a relaxed TmCu4Au crystal.

Cell and atoms, written as CIF:
```
data_TmCu4Au
_cell_length_a 7.0950
_cell_length_b 7.0950
_cell_length_c 7.0950
_cell_angle_alpha 90.00
_cell_angle_beta 90.00
_cell_angle_gamma 90.00
_symmetry_space_group_name_H-M 'F -4 3 m'
_symmetry_Int_Tables_number 216
_symmetry_space_group_name_Hall 'F -4 2 3'
loop_
_atom_site_label
_atom_site_type_symbol
_atom_site_fract_x
_atom_site_fract_y
_atom_site_fract_z
Tm1 Tm 0.0000 0.0000 0.0000
Cu1 Cu 0.1244 0.1244 0.3756
Au1 Au 0.2500 0.2500 0.7500
```

Output
Total moment (μB per atom): 0.00
Formation energy from the elements (eV per atom): -0.329
Final energy (eV per atom): -4.351



19.
## Tm12Cu6Au (PBE-GGA)

Data for a relaxed Tm12Cu6Au crystal.

Cell and atoms, written as CIF:
```
data_Tm12Cu6Au
_cell_length_a 13.6166
_cell_length_b 13.6166
_cell_length_c 8.5687
_cell_angle_alpha 90.00
_cell_angle_beta 90.00
_cell_angle_gamma 120.00
_symmetry_space_group_name_H-M 'R -3'
_symmetry_Int_Tables_number 148
_symmetry_space_group_name_Hall '-R 3'
loop_
_atom_site_label
_atom_site_type_symbol
_atom_site_fract_x
_atom_site_fract_y
_atom_site_fract_z
Tm1 Tm 0.0392 0.8656 0.3333
Tm2 Tm 0.0629 0.8131 0.9410
Cu1 Cu 0.0417 0.7780 0.6196
Au1 Au 0.0000 0.0000 0.0000
```

Output
Total moment (μB per atom): 0.00
Formation energy from the elements (eV per atom): -0.082
Final energy (eV per atom): -4.373



20.
## Tm4CuAu2 (PBE-GGA)

Data for a relaxed Tm4CuAu2 crystal.

Cell and atoms, written as CIF:
```
data_Tm4CuAu2
_cell_length_a 4.9173
_cell_length_b 4.9173
_cell_length_c 24.3100
_cell_angle_alpha 90.00
_cell_angle_beta 90.00
_cell_angle_gamma 120.00
_symmetry_space_group_name_H-M 'R -3 m'
_symmetry_Int_Tables_number 166
_symmetry_space_group_name_Hall '-R 3 2"'
loop_
_atom_site_label
_atom_site_type_symbol
_atom_site_fract_x
_atom_site_fract_y
_atom_site_fract_z
Tm1 Tm 0.0000 0.0000 0.1239
Tm2 Tm 0.0000 0.0000 0.3738
Cu1 Cu 0.0000 0.0000 0.0000
Au1 Au 0.0000 0.0000 0.2464
```

Output
Total moment (μB per atom): 0.00
Formation energy from the elements (eV per atom): -0.549
Final energy (eV per atom): -4.626